No. 1
Th4HgOsSe2 | PBE | relaxed

abc: 4.1993 7.4101 7.6560
angles: 108.03 90.00 90.00
Closest atoms and distances in Å follow each position.
Fractional positions:
Th 0.0000 0.2755 0.7750  2 Os 2.89, 1 Hg 3.05, 3 Se 3.06-3.22
Hg 0.0000 0.0000 0.0000  6 Th 3.05-3.12
Th 0.5000 0.2772 0.2423  1 Os 2.84, 2 Se 3.00, 2 Hg 3.12
Os 0.5000 0.5000 0.0000  6 Th 2.84-2.89
Se 0.0000 0.5000 0.5000  6 Th 3.00-3.06
Th 0.5000 0.7228 0.7577  1 Os 2.84, 2 Se 3.00, 2 Hg 3.12
Se 0.5000 0.0000 0.5000  6 Th 3.22-3.26
Th 0.0000 0.7245 0.2250  2 Os 2.89, 1 Hg 3.05, 3 Se 3.06-3.22

Computed properties:
Energy relative to the elements, uncorrected: -7.00 eV per formula unit
Symmetry: P2/m

***

No. 2
CoCuPb2 | PBE | relaxed

abc: 6.5833 6.5833 4.3206
angles: 70.89 70.89 27.91
Closest atoms and distances in Å follow each position.
Fractional positions:
Co 0.5110 0.5110 0.4888  2 Cu 2.57, 4 Pb 2.68
Pb 0.0157 0.0157 0.9841  4 Co 2.68, 2 Cu 2.92
Cu 0.1785 0.1785 0.3218  2 Co 2.57
Pb 0.7949 0.7949 0.7054  4 Cu 3.02-3.03, 2 Co 3.05, 2 Pb 3.18

Computed properties:
Calculated formation energy: 0.392 eV/atom
Polymorph energy (0 for the lowest one): 0.087 eV/atom
Symmetry: Imm2

***

no.,total DFT energy (no corrections) (eV/atom)
1,-6.90
2,-4.26